NaEr2Ru after structural relaxation, computed with PBE.

a b c (Å): 3.3800 3.3800 9.3618
angles (deg): 90.00 90.00 90.00
With the nearest neighbours (Å) after each atom.
Fractional positions:
Ru 0.5000 0.5000 0.0000  8 Er 2.89
Na 0.5000 0.5000 0.5000  4 Na 3.38
Er 0.0000 0.0000 0.8265  4 Ru 2.89
Er 0.0000 0.0000 0.1735  4 Ru 2.89

Output
energy: -5.18 eV/atom
formation energy: -0.2493 eV/atom
M_tot: 0.00 Bohr magnetons per cell
calculated volume: 26.74 Å³ per atom